Here is a geometry-optimized MgV8O8F8 structure from the Alexandria database. Energies are from PBE+U.

Values from the calculation:
Space-group type: P1
Polymorph energy (0 for the lowest one) in meV per atom: 0
Density of states at the Fermi level in states/eV per atom: 0.050

a = 4.9315 Å, b = 5.6967 Å, c = 10.4171 Å
α = 96.26°, β = 91.61°, γ = 92.26°
Closest atoms and distances in Å follow each position.
Positions (direct):
Mg1 0.5155 0.6145 0.3721  2 F 1.94-1.99, 4 O 2.01-2.14
V1 0.5022 0.7457 0.7333  3 O 1.93-2.06, 3 F 2.07-2.15
V2 0.5145 0.4914 0.9963  4 O 1.98-2.14, 2 F 2.07-2.09
V3 0.5190 0.1896 0.2449  3 F 2.08-2.28, 3 O 2.09-2.22
V4 0.5097 0.0450 0.5126  4 O 1.95-2.12, 1 F 2.06
V5 0.9967 0.2611 0.7655  3 O 1.96-2.05, 3 F 2.08-2.12
V6 0.0295 0.7215 0.2245  3 O 1.91-2.04, 2 F 2.05-2.13
V7 0.0118 0.5048 0.5055  2 O 2.09-2.10, 4 F 2.09-2.21
V8 0.0142 0.9898 0.9916  2 O 1.98-2.02, 4 F 1.99-2.06
O1 0.8369 0.2688 0.9358  3 V 1.96-2.14
O2 0.6763 0.5300 0.1849  3 V 2.03-2.22, 1 Mg 2.14
O3 0.6576 0.3140 0.4328  3 V 1.95-2.10, 1 Mg 2.03
O4 0.6970 0.0423 0.6834  3 V 1.98-2.03
O5 0.3652 0.7125 0.5569  3 V 1.93-2.10, 1 Mg 2.11
O6 0.3364 0.9082 0.3294  1 Mg 2.01, 3 V 2.04-2.12
O7 0.3348 0.4715 0.8223  3 V 1.98-2.06
O8 0.1968 0.7161 0.0608  3 V 1.91-2.14
F1 0.8486 0.8005 0.4214  1 Mg 1.94, 1 V 2.15
F2 0.8373 0.5499 0.6889  3 V 2.07-2.11
F3 0.8559 0.0191 0.1710  3 V 2.04-2.08
F4 0.6948 0.7845 0.9231  3 V 1.99-2.15
F5 0.3366 0.1902 0.0591  3 V 1.99-2.11
F6 0.1776 0.4280 0.3111  1 Mg 1.99, 2 V 2.13-2.21
F7 0.1923 0.9615 0.8147  3 V 2.06-2.14
F8 0.1762 0.2157 0.5828  3 V 2.06-2.12